1.
VASP calculation (GGA-PBE) on a relaxed Nd2Ho2Er5 crystal.

Values from the calculation:
E above lowest polymorph: 0.000 eV/atom
DOS(E_F): 60.2 states/eV/cell
Spin magnetization: 0.00 μB per formula unit

a b c (Å): 14.8872 11.7140 6.7091
angles (deg): 90.00 90.00 90.00
Closest atoms and distances in Å follow each position.
Space group Ima2 (No. 46)
Symmetry-distinct sites (fractional):
Nd  0.1271  0.0042  0.0000 (multiplicity 8)  4 Er 3.31-3.58, 2 Ho 3.53-3.57, 1 Nd 3.66
Ho  0.0000  0.0000  0.4515 (multiplicity 4)  4 Er 3.24-3.58, 2 Nd 3.57
Ho  0.2500  0.5128  0.0512 (multiplicity 4)  4 Er 3.37-3.67, 2 Nd 3.53
Er  0.0530  0.2432  0.6495 (multiplicity 8)  4 Er 3.16-3.36, 1 Ho 3.24, 1 Nd 3.31
Er  0.1428  0.7359  0.8286 (multiplicity 8)  4 Er 3.16-3.37, 1 Nd 3.35, 1 Ho 3.41
Er  0.2500  0.2490  0.8514 (multiplicity 4)  6 Er 3.23-3.55, 1 Ho 3.37, 2 Nd 3.54

***

2.
VASP calculation (GGA-PBE) on a relaxed Na3PuV2S6 crystal.

Values from the calculation:
E_form (uncorrected): -1.2104 eV/atom
DOS(E_F): 23.7 states/eV/cell
Spin magnetization: 9.00 μB per formula unit

a b c (Å): 6.4100 11.1094 6.9827
angles (deg): 90.00 108.05 90.00
Closest atoms and distances in Å follow each position.
Space group C2/m (No. 12)
Symmetry-distinct sites (fractional):
Na  0.0000  0.0000  0.0000 (multiplicity 2)  6 S 2.75-2.94
Na  0.0000  0.3384  0.0000 (multiplicity 4)  6 S 2.78-2.95
Pu  0.0000  0.5000  0.5000 (multiplicity 2)  6 S 2.70
V  0.0000  0.1674  0.5000 (multiplicity 4)  6 S 2.48-2.49
S  0.2103  0.0000  0.7106 (multiplicity 4)  2 V 2.49, 1 Pu 2.70, 1 Na 2.75
S  0.2489  0.1802  0.2893 (multiplicity 8)  2 V 2.48-2.49, 1 Pu 2.70

***

3.
VASP calculation (GGA-PBE) on a relaxed PmDyHo3Tm crystal.

Values from the calculation:
Raw total energy: -4.385 eV/atom
DOS(E_F): 41.5 states/eV/cell
Spin magnetization: 0.00 μB per formula unit

a b c (Å): 22.0667 5.3837 6.7476
angles (deg): 90.00 98.13 90.00
Closest atoms and distances in Å follow each position.
Space group C2/m (No. 12)
Symmetry-distinct sites (fractional):
Pm  0.1305  0.0000  0.4742 (multiplicity 4)  1 Dy 3.20, 4 Ho 3.29-3.41, 2 Tm 3.57
Dy  0.1665  0.0000  0.0318 (multiplicity 4)  1 Pm 3.20, 6 Ho 3.20-3.56, 2 Tm 3.57
Ho  0.0246  0.0000  0.7750 (multiplicity 4)  2 Pm 3.31-3.59, 1 Dy 3.36, 1 Ho 3.37, 2 Tm 3.51
Ho  0.1694  0.5000  0.7758 (multiplicity 4)  2 Dy 3.20, 2 Pm 3.41, 1 Ho 3.52, 1 Tm 3.56
Ho  0.2258  0.5000  0.3141 (multiplicity 4)  3 Pm 3.29-3.67, 1 Tm 3.40, 3 Dy 3.45-3.56, 4 Ho 3.52-3.67
Tm  0.0724  0.5000  0.1556 (multiplicity 4)  6 Ho 3.40-3.77, 1 Tm 3.56, 2 Pm 3.57, 2 Dy 3.57

***

4.
VASP calculation (GGA-PBE) on a relaxed TiCoPt crystal.

Values from the calculation:
Raw total energy: -7.481 eV/atom
DOS(E_F): 29.9 states/eV/cell
Spin magnetization: 0.08 μB per formula unit

a b c (Å): 7.1035 10.4025 6.9315
angles (deg): 90.00 90.00 90.00
Closest atoms and distances in Å follow each position.
Space group Ima2 (No. 46)
Symmetry-distinct sites (fractional):
Ti  0.0374  0.1762  0.0000 (multiplicity 8)  3 Co 2.42-2.48, 4 Pt 2.57-2.64
Ti  0.2500  0.5582  0.9878 (multiplicity 4)  6 Co 2.50-2.68, 4 Pt 2.58-2.78
Co  0.0000  0.0000  0.7629 (multiplicity 4)  4 Ti 2.48-2.68, 2 Pt 2.54
Co  0.0580  0.1159  0.3373 (multiplicity 8)  4 Ti 2.42-2.50, 1 Co 2.55, 1 Pt 2.68
Pt  0.2500  0.1677  0.6876 (multiplicity 4)  6 Co 2.54-2.84, 5 Ti 2.57-2.73
Pt  0.2500  0.5339  0.5911 (multiplicity 4)  5 Ti 2.60-2.76, 6 Co 2.68-2.91, 1 Pt 2.88
Pt  0.2500  0.7145  0.2766 (multiplicity 4)  4 Ti 2.58-2.78, 4 Co 2.84-2.85, 1 Pt 2.88

***

Question: Which of these has the lowest DOS(E_F)?
Answer: Na3PuV2S6